Entry 1:
Compound: AlCuRe
Source: Alexandria via LeMat-Bulk
Functional: PBE-GGA
Structure: optimized geometry

```
AlCuRe
1.0
13.009 0.000 0.000
0.000 2.980 0.000
-0.081 0.000 4.384
Al Cu Re
4 4 4
Cartesian
2.084 0.000 1.785
4.340 1.490 2.599
8.588 1.490 1.785
10.844 0.000 2.599
2.175 1.490 3.951
4.248 0.000 0.434
8.680 0.000 3.951
10.753 1.490 0.434
0.000 0.000 0.000
-0.041 1.490 2.192
6.464 0.000 2.192
6.505 1.490 0.000
```

Calculated values
Its density of states at the Fermi level is 1.7 states/eV/f.u. For the formation energy, the calculation gives -0.002 eV/atom. As for the excess energy over the best structure of this formula in the dataset: 0.115 eV/atom.


Entry 2:
Compound: Rb2DyI4
Source: Alexandria via LeMat-Bulk
Functional: PBE-GGA
Structure: optimized geometry

```
Rb2DyI4
1.0
6.028 0.000 0.000
0.000 6.028 0.000
0.000 0.000 18.626
Rb Dy I
4 2 8
Cartesian
0.000 0.000 2.556
0.000 0.000 16.070
3.014 3.014 6.757
3.014 3.014 11.868
0.000 0.000 9.313
3.014 3.014 0.000
0.000 0.000 6.210
0.000 0.000 12.415
0.000 3.014 0.000
0.000 3.014 9.313
3.014 0.000 0.000
3.014 0.000 9.313
3.014 3.014 3.102
3.014 3.014 15.523
```

Calculated values
Its density of states at the Fermi level is 3.2 states/eV/f.u. For the uncorrected formation energy, the calculation gives -122.5 kJ/mol of atoms.